Material: NaCuTcSe2S
Method: DFT, GGA-PBE
State: relaxed

Values from the calculation:
SG ... Cmcm (63)
V ... 19.475 Å³ per atom
E ... -0.354 Ry per atom
Magnetization ... 2.50 μB/f.u.

abc: 7.018 7.018 9.483
angles: 90.00 90.00 149.98
Sites, in units of the cell vectors:
Cu  0.468  0.532  0.250
Cu  0.532  0.468  0.750
Na  0.744  0.256  0.250
Na  0.256  0.744  0.750
S  0.069  0.931  0.250
S  0.931  0.069  0.750
Se  0.367  0.633  0.042
Se  0.367  0.633  0.458
Se  0.633  0.367  0.542
Se  0.633  0.367  0.958
Tc  0.000  0.000  0.000
Tc  0.000  0.000  0.500